First-principles (GGA-PBEsol) data for BaCa3 after structural relaxation, as listed in Alexandria.

```
4
Lattice="-3.009 -0.746 -4.720 3.571 -4.057 -1.636 -3.175 -3.857 2.633" Properties=species:S:1:pos:R:3 pbc="T T T"
Ca 0.198 -3.957 0.499
Ca -3.092 -2.301 -1.043
Ca 0.281 -2.401 -3.178
Ba 0.000 0.000 0.000
```

Results
- V: 45.0 A^3/atom
- Total energy: -0.1551 Ry per atom
- Total magnetic moment: 0.00 μB per atom
- Crystal system: cubic


First-principles (GGA-PBEsol) data for BaCa3 after structural relaxation, as listed in Alexandria.

```
4
Lattice="4.051 0.000 0.000 0.000 5.387 0.000 0.000 0.000 8.169" Properties=species:S:1:pos:R:3 pbc="T T T"
Ca 2.026 2.693 5.992
Ca 0.000 0.000 4.085
Ca 2.026 2.693 2.178
Ba 0.000 0.000 0.000
```

Results
- V: 44.6 A^3/atom
- Total energy: -0.1556 Ry per atom
- Total magnetic moment: 0.00 μB per atom
- Crystal system: orthorhombic


First-principles (GGA-PBEsol) data for Ba3Ca after structural relaxation, as listed in Alexandria.

```
4
Lattice="4.783 0.000 0.000 0.000 4.783 0.000 0.000 0.000 9.378" Properties=species:S:1:pos:R:3 pbc="T T T"
Ca 2.391 2.391 4.689
Ba 0.000 0.000 6.892
Ba 2.391 2.391 0.000
Ba 0.000 0.000 2.486
```

Results
- V: 53.6 A^3/atom
- Total energy: -0.1561 Ry per atom
- E above lowest polymorph: 0.06 kcal/mol of atoms
- Total magnetic moment: 0.00 μB per atom
- Crystal system: tetragonal


First-principles (GGA-PBEsol) data for BaCa8 after structural relaxation, as listed in Alexandria.

```
9
Lattice="5.550 0.000 0.000 2.775 8.276 0.000 2.775 0.000 8.276" Properties=species:S:1:pos:R:3 pbc="T T T"
Ba 0.000 0.000 0.000
Ca 2.775 0.000 2.836
Ca 5.550 0.000 5.440
Ca 5.550 2.795 2.795
Ca 2.775 2.836 0.000
Ca 2.775 2.795 5.481
Ca 5.550 5.440 0.000
Ca 5.550 5.481 5.481
Ca 2.775 5.481 2.795
```

Results
- V: 42.2 A^3/atom
- Total energy: -0.1560 Ry per atom
- Total magnetic moment: 0.00 μB per atom
- Crystal system: tetragonal


First-principles (GGA-PBEsol) data for BaCa3 after structural relaxation, as listed in Alexandria.

```
4
Lattice="3.826 0.000 0.006 0.000 6.337 0.000 -1.160 0.000 7.211" Properties=species:S:1:pos:R:3 pbc="T T T"
Ca 0.140 3.169 5.358
Ca 1.333 0.000 3.608
Ca 2.527 3.169 1.858
Ba 0.000 0.000 0.000
```

Results
- V: 43.7 A^3/atom
- Total energy: -0.1553 Ry per atom
- Total magnetic moment: 0.00 μB per atom
- Crystal system: monoclinic


First-principles (GGA-PBEsol) data for BaCa5 after structural relaxation, as listed in Alexandria.

```
6
Lattice="-0.263 -0.625 3.878 -3.290 -2.088 -0.559 9.139 -13.962 -1.630" Properties=species:S:1:pos:R:3 pbc="T T T"
Ca 7.460 -11.398 -1.331
Ca 1.678 -2.564 -0.299
Ca 4.231 -10.534 0.588
Ca 1.355 -6.140 1.101
Ca 4.569 -6.981 -0.815
Ba -1.776 -1.356 1.659
```

Results
- V: 43.3 A^3/atom
- Total energy: -0.1556 Ry per atom
- E above lowest polymorph: 0.04 kcal/mol of atoms
- Total magnetic moment: 0.00 μB per atom
- Crystal system: tetragonal


Among the records above, which one has the lowest total energy?
Ba3Ca


Which of these has the highest total energy?
number 1